Entry 1:
Below is a geometry-optimized Zn2Pd5Au12 structure, with properties calculated at the PBE-GGA level.

Cell and atoms, written as POSCAR:
```
Zn2Pd5Au12
1.0
-3.537 0.995 4.203
-4.623 -1.235 -7.305
2.832 -7.527 4.166
Pd Au Zn
5 12 2
Cartesian
-1.531 -6.354 3.924
-3.797 -1.412 -2.861
1.416 -3.763 2.083
-2.070 -4.890 -0.584
-3.257 -2.876 1.647
-2.844 -4.027 4.103
-2.738 -0.932 -0.273
-2.590 -6.834 1.336
-0.262 -2.310 0.327
-2.484 -3.739 -3.039
-5.066 -5.456 0.737
-4.548 -0.423 1.878
-4.234 -3.246 -0.960
-4.179 -6.174 -2.054
-1.094 -4.520 2.023
-1.149 -1.592 3.118
-0.780 -7.343 -0.814
-0.893 0.251 1.062
-2.644 0.744 3.141
```

Summary:
calculated formation energy = 0.14 eV/atom
volume = 19.59 A^3/atom
space-group type = No. 12

Entry 2:
Below is a geometry-optimized Na2NiCCl structure, with properties calculated at the PBE-GGA level.

Cell and atoms, written as POSCAR:
```
Na2NiCCl
1.0
-0.595 3.729 3.801
2.371 -1.681 2.020
3.933 2.886 -2.216
Cl Ni C Na
1 1 1 2
Cartesian
2.855 2.467 1.803
0.000 0.000 0.000
1.186 -0.840 1.010
-0.298 1.865 1.901
1.967 1.443 -1.108
```

Summary:
formation energy without anion corrections = -0.012 eV/atom
volume = 20.32 A^3/atom
space-group type = No. 123

Values for electronic total energy, eV per atom, ordered as above
-3.433, -3.910